# Ce2SmBrO4 | Alexandria via LeMat-Bulk | GGA-PBE | optimized geometry
data_Ce2SmBrO4
_cell_length_a 4.018
_cell_length_b 4.018
_cell_length_c 9.163
_cell_angle_alpha 90.00
_cell_angle_beta 90.00
_cell_angle_gamma 90.00
_space_group_name_H-M_alt 'P 4/m m m'
_space_group_IT_number 123
_space_group_name_Hall '-P 4 2'
loop_
_atom_site_label
_atom_site_fract_x
_atom_site_fract_y
_atom_site_fract_z
Ce1 0.000 0.000 0.232
Sm1 0.500 0.500 0.500
Br1 0.500 0.500 0.000
O1 0.000 0.500 0.344
# Total energy ... -7.890 eV/atom


# TlGeBr2Cl | Alexandria via LeMat-Bulk | GGA-PBE | optimized geometry
data_TlGeBr2Cl
_cell_length_a 5.544
_cell_length_b 5.544
_cell_length_c 5.203
_cell_angle_alpha 90.00
_cell_angle_beta 90.00
_cell_angle_gamma 90.00
_space_group_name_H-M_alt 'P 4/m m m'
_space_group_IT_number 123
_space_group_name_Hall '-P 4 2'
loop_
_atom_site_label
_atom_site_fract_x
_atom_site_fract_y
_atom_site_fract_z
Tl1 0.000 0.000 0.000
Ge1 0.500 0.500 0.500
Br1 0.000 0.500 0.500
Cl1 0.500 0.500 0.000
# Excess energy over the best structure of this formula in the dataset ... 0.023 eV/atom


# NaSn3Bi3 | Alexandria via LeMat-Bulk | GGA-PBE | optimized geometry
data_NaSn3Bi3
_cell_length_a 8.609
_cell_length_b 8.609
_cell_length_c 8.609
_cell_angle_alpha 90.00
_cell_angle_beta 90.00
_cell_angle_gamma 90.00
_space_group_name_H-M_alt 'P m -3 n'
_space_group_IT_number 223
_space_group_name_Hall '-P 4n 2 3'
loop_
_atom_site_label
_atom_site_fract_x
_atom_site_fract_y
_atom_site_fract_z
Na1 0.000 0.000 0.000
Sn1 0.000 0.250 0.500
Bi1 0.000 0.500 0.250
# Energy of formation from the pure elements ... 0.175 eV per atom


# TcMoCl3 | Alexandria via LeMat-Bulk | GGA-PBE | optimized geometry
data_TcMoCl3
_cell_length_a 4.988
_cell_length_b 4.988
_cell_length_c 4.988
_cell_angle_alpha 90.00
_cell_angle_beta 90.00
_cell_angle_gamma 90.00
_space_group_name_H-M_alt 'P m -3 m'
_space_group_IT_number 221
_space_group_name_Hall '-P 4 2 3'
loop_
_atom_site_label
_atom_site_fract_x
_atom_site_fract_y
_atom_site_fract_z
Tc1 0.000 0.000 0.000
Mo1 0.500 0.500 0.500
Cl1 0.000 0.500 0.500
# Excess energy over the best structure of this formula in the dataset ... 0.017 eV/atom


# Hg3Bi4Pb8 | Alexandria via LeMat-Bulk | GGA-PBE | optimized geometry
data_Hg3Bi4Pb8
_cell_length_a 13.148
_cell_length_b 12.659
_cell_length_c 6.979
_cell_angle_alpha 90.00
_cell_angle_beta 121.70
_cell_angle_gamma 90.00
_space_group_name_H-M_alt 'C 1 2/m 1'
_space_group_IT_number 12
loop_
_space_group_symop_operation_xyz
'x,y,z'
'-x,-y,-z'
'-x,y,-z'
'x,-y,z'
'x+1/2,y+1/2,z'
'-x+1/2,-y+1/2,-z'
'-x+1/2,y+1/2,-z'
'x+1/2,-y+1/2,z'
loop_
_atom_site_label
_atom_site_fract_x
_atom_site_fract_y
_atom_site_fract_z
Hg1 0.000 0.000 0.000
Hg2 0.250 0.250 0.000
Bi1 0.000 0.000 0.500
Bi2 0.000 0.500 0.000
Bi3 0.250 0.250 0.500
Pb1 0.000 0.246 0.000
Pb2 0.000 0.262 0.500
Pb3 0.243 0.500 0.503
Pb4 0.243 0.500 0.985
# Energy of formation from the pure elements ... 0.104 eV per atom


# ErCd5Ag8 | Alexandria via LeMat-Bulk | GGA-PBE | optimized geometry
data_ErCd5Ag8
_cell_length_a 8.165
_cell_length_b 8.165
_cell_length_c 8.791
_cell_angle_alpha 90.00
_cell_angle_beta 90.00
_cell_angle_gamma 90.00
_space_group_name_H-M_alt 'I -4'
_space_group_IT_number 82
loop_
_space_group_symop_operation_xyz
'x,y,z'
'y,-x,-z'
'-x,-y,z'
'-y,x,-z'
'x+1/2,y+1/2,z+1/2'
'y+1/2,-x+1/2,-z+1/2'
'-x+1/2,-y+1/2,z+1/2'
'-y+1/2,x+1/2,-z+1/2'
loop_
_atom_site_label
_atom_site_fract_x
_atom_site_fract_y
_atom_site_fract_z
Er1 0.000 0.000 0.000
Cd1 0.000 0.500 0.750
Cd2 0.144 0.717 0.330
Ag1 0.071 0.839 0.647
Ag2 0.100 0.651 0.015
# Energy of formation from the pure elements ... -0.003 eV per atom


# HoErPa | Alexandria via LeMat-Bulk | GGA-PBE | optimized geometry
data_HoErPa
_cell_length_a 3.4078
_cell_length_b 3.4078
_cell_length_c 8.4729
_cell_angle_alpha 90.00
_cell_angle_beta 90.00
_cell_angle_gamma 120.00
_space_group_name_H-M_alt 'P 3 m 1'
_space_group_IT_number 156
loop_
_space_group_symop_operation_xyz
'x,y,z'
'-y,x-y,z'
'-x+y,-x,z'
'-y,-x,z'
'-x+y,y,z'
'x,x-y,z'
loop_
_atom_site_label
_atom_site_fract_x
_atom_site_fract_y
_atom_site_fract_z
Ho1 0.0000 0.0000 0.0000
Er1 0.3333 0.6667 0.6418
Pa1 0.6667 0.3333 0.3215
# Excess energy over the best structure of this formula in the dataset ... 0.000 eV/atom
# Energy of formation from the pure elements ... 0.109 eV per atom


# Mn2CrSnN | Alexandria via LeMat-Bulk | GGA-PBE | optimized geometry
data_Mn2CrSnN
_cell_length_a 3.966
_cell_length_b 3.966
_cell_length_c 3.970
_cell_angle_alpha 90.00
_cell_angle_beta 90.00
_cell_angle_gamma 90.00
_space_group_name_H-M_alt 'P 4/m m m'
_space_group_IT_number 123
_space_group_name_Hall '-P 4 2'
loop_
_atom_site_label
_atom_site_fract_x
_atom_site_fract_y
_atom_site_fract_z
Mn1 0.000 0.500 0.000
Cr1 0.000 0.000 0.500
Sn1 0.500 0.500 0.500
N1 0.000 0.000 0.000
# Total energy ... -8.216 eV/atom


# Ca2BeAuN | Alexandria via LeMat-Bulk | GGA-PBE | optimized geometry
data_Ca2BeAuN
_cell_length_a 5.179
_cell_length_b 5.179
_cell_length_c 3.312
_cell_angle_alpha 90.00
_cell_angle_beta 90.00
_cell_angle_gamma 90.00
_space_group_name_H-M_alt 'P 4/m m m'
_space_group_IT_number 123
_space_group_name_Hall '-P 4 2'
loop_
_atom_site_label
_atom_site_fract_x
_atom_site_fract_y
_atom_site_fract_z
Ca1 0.000 0.500 0.000
Be1 0.000 0.000 0.500
Au1 0.500 0.500 0.500
N1 0.000 0.000 0.000
# Total energy ... -4.543 eV/atom


# CsCr2Tc2 | Alexandria via LeMat-Bulk | GGA-PBE | optimized geometry
data_CsCr2Tc2
_cell_length_a 3.951
_cell_length_b 3.951
_cell_length_c 15.157
_cell_angle_alpha 90.00
_cell_angle_beta 90.00
_cell_angle_gamma 90.00
_space_group_name_H-M_alt 'I 4/m m m'
_space_group_IT_number 139
_space_group_name_Hall '-I 4 2'
loop_
_atom_site_label
_atom_site_fract_x
_atom_site_fract_y
_atom_site_fract_z
Cs1 0.000 0.000 0.000
Cr1 0.000 0.500 0.250
Tc1 0.000 0.000 0.335
# Excess energy over the best structure of this formula in the dataset ... 0.000 eV/atom
# Energy of formation from the pure elements ... 0.899 eV per atom


# GaTeRh3 | Alexandria via LeMat-Bulk | GGA-PBE | optimized geometry
data_GaTeRh3
_cell_length_a 4.589
_cell_length_b 4.589
_cell_length_c 4.589
_cell_angle_alpha 90.00
_cell_angle_beta 90.00
_cell_angle_gamma 90.00
_space_group_name_H-M_alt 'P m -3 m'
_space_group_IT_number 221
_space_group_name_Hall '-P 4 2 3'
loop_
_atom_site_label
_atom_site_fract_x
_atom_site_fract_y
_atom_site_fract_z
Ga1 0.000 0.000 0.000
Te1 0.500 0.500 0.500
Rh1 0.000 0.000 0.500
# Excess energy over the best structure of this formula in the dataset ... 0.000 eV/atom


# Dy3IrRh | Alexandria via LeMat-Bulk | GGA-PBE | optimized geometry
data_Dy3IrRh
_cell_length_a 6.8555
_cell_length_b 6.8555
_cell_length_c 19.0393
_cell_angle_alpha 90.00
_cell_angle_beta 90.00
_cell_angle_gamma 120.00
_space_group_name_H-M_alt 'R -3'
_space_group_IT_number 148
_space_group_name_Hall '-R 3'
loop_
_atom_site_label
_atom_site_fract_x
_atom_site_fract_y
_atom_site_fract_z
Dy1 0.0006 0.3463 0.2507
Ir1 0.0000 0.0000 0.3282
Rh1 0.0000 0.0000 0.1716
# Excess energy over the best structure of this formula in the dataset ... 0.000 eV/atom
# Energy of formation from the pure elements ... -0.691 eV per atom


# BeInSb2 | Alexandria via LeMat-Bulk | GGA-PBE | optimized geometry
data_BeInSb2
_cell_length_a 3.3864
_cell_length_b 3.3864
_cell_length_c 29.7001
_cell_angle_alpha 90.00
_cell_angle_beta 90.00
_cell_angle_gamma 120.00
_space_group_name_H-M_alt 'R 3 m'
_space_group_IT_number 160
_space_group_name_Hall 'R 3 -2"'
loop_
_atom_site_label
_atom_site_fract_x
_atom_site_fract_y
_atom_site_fract_z
Be1 0.0000 0.0000 0.0000
In1 0.0000 0.0000 0.7309
Sb1 0.0000 0.0000 0.2753
Sb2 0.0000 0.0000 0.4796
# Excess energy over the best structure of this formula in the dataset ... 0.215 eV/atom


# BaZrTl2Fe | Alexandria via LeMat-Bulk | GGA-PBE | optimized geometry
data_BaZrTl2Fe
_cell_length_a 5.289
_cell_length_b 5.289
_cell_length_c 4.776
_cell_angle_alpha 90.00
_cell_angle_beta 90.00
_cell_angle_gamma 90.00
_space_group_name_H-M_alt 'P 4/m m m'
_space_group_IT_number 123
_space_group_name_Hall '-P 4 2'
loop_
_atom_site_label
_atom_site_fract_x
_atom_site_fract_y
_atom_site_fract_z
Ba1 0.000 0.000 0.000
Zr1 0.500 0.500 0.000
Tl1 0.000 0.500 0.500
Fe1 0.500 0.500 0.500
# Energy of formation from the pure elements ... 0.172 eV per atom


# PmTaTl2O6 | Alexandria via LeMat-Bulk | GGA-PBE | optimized geometry
data_PmTaTl2O6
_cell_length_a 5.895
_cell_length_b 6.022
_cell_length_c 10.298
_cell_angle_alpha 90.00
_cell_angle_beta 124.81
_cell_angle_gamma 90.00
_space_group_name_H-M_alt 'P 1 21/c 1'
_space_group_IT_number 14
loop_
_space_group_symop_operation_xyz
'x,y,z'
'-x,-y,-z'
'-x,y+1/2,-z+1/2'
'x,-y+1/2,z+1/2'
loop_
_atom_site_label
_atom_site_fract_x
_atom_site_fract_y
_atom_site_fract_z
Pm1 0.000 0.000 0.000
Ta1 0.500 0.000 0.500
Tl1 0.243 0.030 0.749
O1 0.173 0.180 0.452
O2 0.275 0.720 0.449
O3 0.369 0.030 0.272
# Total energy ... -7.130 eV/atom


# NpSb | Alexandria via LeMat-Bulk | GGA-PBE | optimized geometry
data_NpSb
_cell_length_a 6.218
_cell_length_b 6.218
_cell_length_c 6.218
_cell_angle_alpha 90.00
_cell_angle_beta 90.00
_cell_angle_gamma 90.00
_space_group_name_H-M_alt 'F m -3 m'
_space_group_IT_number 225
_space_group_name_Hall '-F 4 2 3'
loop_
_atom_site_label
_atom_site_fract_x
_atom_site_fract_y
_atom_site_fract_z
Np1 0.000 0.000 0.000
Sb1 0.000 0.000 0.500
# Excess energy over the best structure of this formula in the dataset ... 0.045 eV/atom


# Re3Mo | Alexandria via LeMat-Bulk | GGA-PBE | optimized geometry
data_Re3Mo
_cell_length_a 3.936
_cell_length_b 3.936
_cell_length_c 7.876
_cell_angle_alpha 90.00
_cell_angle_beta 90.00
_cell_angle_gamma 90.00
_space_group_name_H-M_alt 'I 4/m m m'
_space_group_IT_number 139
_space_group_name_Hall '-I 4 2'
loop_
_atom_site_label
_atom_site_fract_x
_atom_site_fract_y
_atom_site_fract_z
Re1 0.000 0.000 0.000
Re2 0.000 0.500 0.250
Mo1 0.000 0.000 0.500
# Excess energy over the best structure of this formula in the dataset ... 0.035 eV/atom
# Energy of formation from the pure elements ... 0.123 eV per atom


# TaSb2Mo | Alexandria via LeMat-Bulk | GGA-PBE | optimized geometry
data_TaSb2Mo
_cell_length_a 4.207
_cell_length_b 4.207
_cell_length_c 19.459
_cell_angle_alpha 90.00
_cell_angle_beta 90.00
_cell_angle_gamma 90.00
_space_group_name_H-M_alt 'I -4 2 d'
_space_group_IT_number 122
_space_group_name_Hall 'I -4 2bw'
loop_
_atom_site_label
_atom_site_fract_x
_atom_site_fract_y
_atom_site_fract_z
Ta1 0.000 0.000 0.000
Sb1 0.243 0.250 0.625
Mo1 0.000 0.000 0.500
# Total energy ... -7.123 eV/atom


# NbV3Ru3 | Alexandria via LeMat-Bulk | GGA-PBE | optimized geometry
data_NbV3Ru3
_cell_length_a 8.396
_cell_length_b 8.681
_cell_length_c 5.759
_cell_angle_alpha 90.00
_cell_angle_beta 90.00
_cell_angle_gamma 90.00
_space_group_name_H-M_alt 'C m m m'
_space_group_IT_number 65
_space_group_name_Hall '-C 2 2'
loop_
_atom_site_label
_atom_site_fract_x
_atom_site_fract_y
_atom_site_fract_z
Nb1 0.177 0.000 0.000
V1 0.000 0.164 0.500
V2 0.000 0.275 0.000
V3 0.239 0.500 0.500
Ru1 0.000 0.500 0.254
Ru2 0.250 0.250 0.255
# Energy of formation from the pure elements ... -0.072 eV per atom


# NaSr7Ca5 | Alexandria via LeMat-Bulk | GGA-PBE | optimized geometry
data_NaSr7Ca5
_cell_length_a 7.473
_cell_length_b 13.200
_cell_length_c 13.811
_cell_angle_alpha 90.00
_cell_angle_beta 90.00
_cell_angle_gamma 90.00
_space_group_name_H-M_alt 'I m m 2'
_space_group_IT_number 44
loop_
_space_group_symop_operation_xyz
'x,y,z'
'-x,-y,z'
'-x,y,z'
'x,-y,z'
'x+1/2,y+1/2,z+1/2'
'-x+1/2,-y+1/2,z+1/2'
'-x+1/2,y+1/2,z+1/2'
'x+1/2,-y+1/2,z+1/2'
loop_
_atom_site_label
_atom_site_fract_x
_atom_site_fract_y
_atom_site_fract_z
Na1 0.000 0.000 0.000
Sr1 0.000 0.000 0.401
Sr2 0.000 0.000 0.688
Sr3 0.000 0.308 0.545
Sr4 0.000 0.347 0.048
Sr5 0.000 0.500 0.778
Ca1 0.000 0.500 0.313
Ca2 0.249 0.244 0.798
# Energy of formation from the pure elements ... 0.102 eV per atom